No. 1
Lu2AlRh: relaxed, PBE.

```
Lu2AlRh
1.0
3.4428 0.0000 0.0000
0.0000 3.4428 0.0000
0.0000 0.0000 6.9477
Lu Al Rh
2 1 1
Direct
0.0000 0.0000 0.2300 Lu
0.0000 0.0000 0.7700 Lu
0.5000 0.5000 0.5000 Al
0.5000 0.5000 0.0000 Rh
```

Summary:
Formation enthalpy at 0 K   -0.711 eV/atom

***

No. 2
SnC2Se2: relaxed, PBE.

```
SnC2Se2
1.0
7.8230 0.0000 0.0000
0.0000 7.8230 0.0000
0.0000 0.0000 3.0352
Sn C Se
2 4 4
Direct
0.0000 0.0000 0.0000 Sn
0.5000 0.5000 0.0000 Sn
0.2489 0.2511 0.0000 C
0.2511 0.7511 0.0000 C
0.7489 0.2489 0.0000 C
0.7511 0.7489 0.0000 C
0.1427 0.6427 0.5000 Se
0.3573 0.1427 0.5000 Se
0.6427 0.8573 0.5000 Se
0.8573 0.3573 0.5000 Se
```

Summary:
Energy relative to the elements, uncorrected   622 kJ/mol of formula units

***

No. 3
CsK2Cd2: relaxed, PBE.

```
CsK2Cd2
1.0
10.7158 0.0000 0.0000
0.0000 10.7158 0.0000
0.0000 0.0000 4.1416
Cs K Cd
2 4 4
Direct
0.0000 0.0000 0.0000 Cs
0.5000 0.5000 0.0000 Cs
0.1277 0.3723 0.0000 K
0.3723 0.8723 0.0000 K
0.6277 0.1277 0.0000 K
0.8723 0.6277 0.0000 K
0.1672 0.6672 0.5000 Cd
0.3328 0.1672 0.5000 Cd
0.6672 0.8328 0.5000 Cd
0.8328 0.3328 0.5000 Cd
```

Summary:
Formation enthalpy at 0 K   0.030 eV/atom

***

Number 1: energy relative to the lowest polymorph listed for this composition 0 meV per atom, theoretical density 9.68 g cm⁻³. Number 2: energy relative to the lowest polymorph listed for this composition 0 meV per atom, theoretical density 5.38 g cm⁻³. Number 3: energy relative to the lowest polymorph listed for this composition 73 meV per atom, theoretical density 3.04 g cm⁻³.